Material: AlTcW4
Method: DFT, PBE
State: relaxed

Calculated values
Crystal system ... cubic
Formation energy ... 421 meV per atom
Magnetization ... 0.00 Bohr magnetons per cell
Space-group type ... No. 216

abc: 5.226 5.226 5.226
angles: 60.00 60.00 60.00
Fractional coordinates of all 6 atoms:
Al: 0.750 0.750 0.750
Tc: 0.000 0.000 0.000
W: 0.873 0.376 0.376
W: 0.376 0.376 0.873
W: 0.376 0.873 0.376
W: 0.376 0.376 0.376